Record 1
KTcI5 after structural relaxation, computed with PBE.

Raw formation energy (eV per formula unit): -2.995
Space-group type: C2/c, No. 15

```
KTcI5
1.0
6.015 -7.790 0.000
6.015 7.790 0.000
-4.299 0.000 6.635
K Tc I
2 2 10
Cartesian
2.791 5.338 4.976
4.941 -5.338 1.659
3.008 3.895 0.000
0.858 -3.895 3.317
0.591 2.566 5.149
4.941 5.070 1.659
2.692 1.685 1.534
0.543 -1.685 4.852
2.741 -2.566 1.832
4.991 2.566 4.803
7.189 1.685 1.783
5.039 -1.685 5.100
2.791 -5.070 4.976
7.140 -2.566 1.485
```



Record 2
Sb2TePtSe after structural relaxation, computed with PBE.

Raw formation energy (eV per formula unit): 5.090
E above lowest polymorph (eV per atom): 0.5737
Space-group type: P4/mmm, No. 123

```
Sb2TePtSe
1.0
5.336 0.000 0.000
0.000 5.336 0.000
0.000 0.000 5.257
Sb Te Pt Se
2 1 1 1
Cartesian
0.000 2.668 0.000
2.668 0.000 0.000
0.000 0.000 2.629
2.668 2.668 2.629
0.000 0.000 0.000
```



Number 1: E_tot -3.173 eV per atom. Number 2: E_tot -3.164 eV per atom.